1.
DFT (PBE-GGA) results for a relaxed structure of KRb2YF6.

Calculated values
The space-group type is P2_1/c, No. 14. For the density of states at the Fermi level, the calculation gives 0.00 states/eV/f.u. The raw formation energy comes out at -3.34 eV per atom. The total DFT energy (no corrections) comes out at -5.409 eV/atom.

Unit cell a=6.744 b=6.579 c=11.399 alpha=55.10 beta=90.00 gamma=90.00
Positions (direct):
K (0.000, 0.500, 0.500)
K (0.500, 0.500, 0.000)
Rb (0.956, 0.265, 0.248)
Rb (0.544, 0.265, 0.748)
Rb (0.456, 0.735, 0.252)
Rb (0.044, 0.735, 0.752)
Y (0.000, 0.000, 0.000)
Y (0.500, 0.000, 0.500)
F (0.265, 0.236, 0.944)
F (0.765, 0.764, 0.556)
F (0.735, 0.764, 0.056)
F (0.235, 0.236, 0.444)
F (0.185, 0.689, 0.043)
F (0.685, 0.311, 0.457)
F (0.815, 0.311, 0.957)
F (0.315, 0.689, 0.543)
F (0.461, 0.868, 0.725)
F (0.961, 0.132, 0.775)
F (0.539, 0.132, 0.275)
F (0.039, 0.868, 0.225)

---

2.
DFT (PBE-GGA) results for a relaxed structure of KRb2YF6.

Calculated values
The space-group type is P2_1/c, No. 14. For the density of states at the Fermi level, the calculation gives 0.00 states/eV/f.u. The raw formation energy comes out at -3.25 eV per atom. The total DFT energy (no corrections) comes out at -5.325 eV/atom.

Unit cell a=7.367 b=6.705 c=9.471 alpha=76.96 beta=90.00 gamma=90.00
Last column: magnetic moment on the atom in μB.
Positions (direct):
F (0.999, 0.031, 0.223)  0.06
F (0.499, 0.969, 0.277)  0.06
F (0.001, 0.969, 0.777)  0.06
F (0.501, 0.031, 0.723)  0.06
F (0.206, 0.750, 0.056)  0.01
F (0.706, 0.250, 0.444)  0.01
F (0.794, 0.250, 0.944)  0.01
F (0.294, 0.750, 0.556)  0.01
F (0.209, 0.246, 0.945)  0.02
F (0.709, 0.754, 0.555)  0.02
F (0.791, 0.754, 0.055)  0.02
F (0.291, 0.246, 0.445)  0.02
K (0.000, 0.000, 0.500)  0.00
K (0.500, 0.000, 0.000)  0.00
Rb (0.992, 0.433, 0.222)  0.00
Rb (0.492, 0.567, 0.278)  0.00
Rb (0.008, 0.567, 0.778)  0.00
Rb (0.508, 0.433, 0.722)  0.00
Y (0.000, 0.000, 0.000)  0.00
Y (0.500, 0.000, 0.500)  0.00

---

3.
DFT (PBE-GGA) results for a relaxed structure of K2RbYF6.

Calculated values
The space-group type is Fm-3m, No. 225. For the density of states at the Fermi level, the calculation gives 0.00 states/eV/f.u. The raw formation energy comes out at -3.24 eV per atom. The total DFT energy (no corrections) comes out at -5.321 eV/atom.

Unit cell a=6.817 b=6.817 c=6.817 alpha=60.00 beta=60.00 gamma=60.00
Positions (direct):
Y (0.000, 0.000, 0.000)
K (0.750, 0.750, 0.750)
K (0.250, 0.250, 0.250)
Rb (0.500, 0.500, 0.500)
F (0.226, 0.774, 0.774)
F (0.774, 0.226, 0.774)
F (0.226, 0.774, 0.226)
F (0.774, 0.774, 0.226)
F (0.774, 0.226, 0.226)
F (0.226, 0.226, 0.774)

---

4.
DFT (PBE-GGA) results for a relaxed structure of K2RbYF6.

Calculated values
The space-group type is P2_1/c, No. 14. For the density of states at the Fermi level, the calculation gives 0.00 states/eV/f.u. The raw formation energy comes out at -3.33 eV per atom. The total DFT energy (no corrections) comes out at -5.416 eV/atom.

Unit cell a=6.484 b=6.798 c=9.307 alpha=90.00 beta=88.55 gamma=90.00
Last column: magnetic moment on the atom in μB.
Positions (direct):
K (0.009, 0.955, 0.270)  0.00
K (0.509, 0.545, 0.770)  0.00
K (0.991, 0.045, 0.730)  0.00
K (0.491, 0.455, 0.230)  0.00
Rb (0.500, 0.000, 0.000)  0.00
Rb (0.000, 0.500, 0.500)  0.00
Y (0.500, 0.000, 0.500)  -0.01
Y (0.000, 0.500, 0.000)  -0.01
F (0.288, 0.659, 0.036)  0.03
F (0.788, 0.841, 0.536)  0.03
F (0.712, 0.341, 0.964)  0.03
F (0.212, 0.159, 0.464)  0.03
F (0.347, 0.738, 0.409)  0.05
F (0.847, 0.762, 0.909)  0.05
F (0.653, 0.262, 0.591)  0.05
F (0.153, 0.238, 0.091)  0.05
F (0.880, 0.588, 0.214)  0.04
F (0.380, 0.912, 0.714)  0.04
F (0.120, 0.412, 0.786)  0.04
F (0.620, 0.088, 0.286)  0.04

---

5.
DFT (PBE-GGA) results for a relaxed structure of KRb3Zn2F8.

Calculated values
The space-group type is P-3m1, No. 164. For the density of states at the Fermi level, the calculation gives 0.00 states/eV/f.u. The raw formation energy comes out at -2.56 eV per atom. The total DFT energy (no corrections) comes out at -4.101 eV/atom.

Unit cell a=6.423 b=6.423 c=8.090 alpha=90.00 beta=90.00 gamma=120.00
Positions (direct):
K (0.000, 0.000, 0.500)
Rb (0.333, 0.667, 0.639)
Rb (0.667, 0.333, 0.361)
Rb (0.000, 0.000, 0.000)
Zn (0.333, 0.667, 0.193)
Zn (0.667, 0.333, 0.807)
F (0.333, 0.667, 0.961)
F (0.667, 0.333, 0.039)
F (0.177, 0.823, 0.300)
F (0.823, 0.177, 0.700)
F (0.177, 0.354, 0.300)
F (0.823, 0.646, 0.700)
F (0.646, 0.823, 0.300)
F (0.354, 0.177, 0.700)

---

6.
DFT (PBE-GGA) results for a relaxed structure of K3Rb3ZnF8.

Calculated values
The space-group type is R-3m, No. 166. For the density of states at the Fermi level, the calculation gives 0.00 states/eV/f.u. The raw formation energy comes out at -2.63 eV per atom. The total DFT energy (no corrections) comes out at -4.130 eV/atom.

Unit cell a=7.602 b=7.602 c=7.754 alpha=119.35 beta=90.01 gamma=120.00
Positions (direct):
K (0.500, 0.000, 0.500)
K (0.500, 0.500, 0.500)
K (0.000, 0.500, 0.500)
Rb (0.000, 0.000, 0.000)
Rb (0.000, 0.500, 0.000)
Rb (0.500, 0.500, 0.000)
Zn (0.000, 0.000, 0.500)
F (0.255, 0.511, 0.266)
F (0.745, 0.489, 0.734)
F (0.804, 0.608, 0.311)
F (0.196, 0.392, 0.689)
F (0.804, 0.007, 0.311)
F (0.196, 0.993, 0.689)
F (0.203, 0.007, 0.311)
F (0.797, 0.993, 0.689)

---

7.
DFT (PBE-GGA) results for a relaxed structure of K3Rb4ZnF8.

Calculated values
The space-group type is C2/m, No. 12. For the density of states at the Fermi level, the calculation gives 1.46 states/eV/f.u. The raw formation energy comes out at -2.44 eV per atom. The total DFT energy (no corrections) comes out at -3.906 eV/atom.

Unit cell a=7.796 b=7.808 c=7.806 alpha=119.95 beta=119.96 gamma=90.00
Last column: magnetic moment on the atom in μB.
Positions (direct):
K (0.500, 0.500, 0.000)  0.00
K (0.500, 0.500, 0.500)  0.00
K (0.000, 0.500, 0.500)  0.00
Rb (0.500, 0.000, 0.000)  0.01
Rb (0.500, 0.000, 0.500)  0.00
Rb (0.000, 0.000, 0.000)  0.00
Rb (0.000, 0.000, 0.500)  0.00
Zn (0.000, 0.500, 0.000)  0.40
F (0.239, 0.730, 0.991)  0.04
F (0.241, 0.732, 0.483)  0.04
F (0.255, 0.264, 0.509)  0.00
F (0.752, 0.730, 0.991)  0.04
F (0.248, 0.270, 0.009)  0.04
F (0.745, 0.736, 0.491)  0.00
F (0.759, 0.268, 0.517)  0.04
F (0.761, 0.270, 0.009)  0.04

---

8.
DFT (PBE-GGA) results for a relaxed structure of K2RbZnF.

Calculated values
The space-group type is P4/mmm, No. 123. For the density of states at the Fermi level, the calculation gives 2.74 states/eV/f.u. The raw formation energy comes out at -0.94 eV per atom. The total DFT energy (no corrections) comes out at -2.200 eV/atom.

Unit cell a=5.496 b=5.496 c=5.775 alpha=90.00 beta=90.00 gamma=90.00
Positions (direct):
Zn (0.500, 0.500, 0.500)
K (0.000, 0.500, 0.000)
K (0.500, 0.000, 0.000)
Rb (0.000, 0.000, 0.500)
F (0.000, 0.000, 0.000)